# GGA-PBEsol LaAgRu, optimized geometry
data_LaAgRu
_chemical_formula_sum 'La4 Ag4 Ru4'
_symmetry_space_group_name_H-M 'F -4 3 m'
_symmetry_Int_Tables_number 216
_symmetry_space_group_name_Hall 'F -4 2 3'
_cell_length_a 6.4585
_cell_length_b 6.4585
_cell_length_c 6.4585
_cell_angle_alpha 90.00
_cell_angle_beta 90.00
_cell_angle_gamma 90.00
loop_
_atom_site_label
_atom_site_type_symbol
_atom_site_fract_x
_atom_site_fract_y
_atom_site_fract_z
La1 La 0.0000 0.0000 0.0000
Ag1 Ag 0.0000 0.0000 0.5000
Ru1 Ru 0.2500 0.2500 0.7500
# Uncorrected energy in eV per formula unit: -18.05
# Spin magnetization in μB/atom: 0.000